Material: YHoHg2
Method: DFT, GGA-PBE
State: optimized geometry

Computed properties:
formation energy from the elements: -2.0 eV/f.u.

Structure (CIF):
```
data_YHoHg2
_cell_length_a 3.7485
_cell_length_b 5.2361
_cell_length_c 5.2361
_cell_angle_alpha 90.00
_cell_angle_beta 90.00
_cell_angle_gamma 90.00
_space_group_name_H-M_alt 'P 1'
_space_group_IT_number 1
_space_group_name_Hall 'P 1'
loop_
_atom_site_label
_atom_site_type_symbol
_atom_site_fract_x
_atom_site_fract_y
_atom_site_fract_z
Y1 Y 0.5000 0.0000 0.0000
Hg1 Hg 0.0000 0.0000 0.5000
Hg2 Hg 0.0000 0.5000 0.0000
Ho1 Ho 0.5000 0.5000 0.5000
```